Compound: SiSb
Source: Alexandria via LeMat-Bulk
Functional: PBE
Structure: optimized geometry

Summary:
Formation energy from raw total energies ... 58.38 kJ/mol of atoms
M_tot ... 0.0 μB per formula unit

Cell and atoms, written as POSCAR:
```
SiSb
1.0
-1.5295 1.6635 4.2605
-0.6332 -3.3766 3.3846
3.3248 -0.0158 3.4933
Si Sb
2 2
Direct
0.1113 0.1113 0.1113
0.8887 0.8887 0.8887
0.3663 0.3663 0.3663
0.6337 0.6337 0.6337
```